[1]
{
  "formula": "Si2BiSb2",
  "functional": "PBE-GGA",
  "state": "optimized geometry",
  "polymorph_energy_mev_per_atom": 0,
  "e_form_raw_mev_per_atom": 332,
  "energy_ha_per_atom": -0.15665,
  "space_group": "I4/mmm",
  "cell": [[5.253, 0.000, 0.000], [0.000, 5.253, 0.000], [0.000, 0.000, 8.823]],
  "species": ["Si", "Si", "Si", "Si", "Bi", "Bi", "Sb", "Sb", "Sb", "Sb"],
  "fractional_positions": [[0.000, 0.000, 0.137], [0.000, 0.000, 0.863], [0.500, 0.500, 0.363], [0.500, 0.500, 0.637], [0.000, 0.000, 0.500], [0.500, 0.500, 0.000], [0.000, 0.500, 0.250], [0.000, 0.500, 0.750], [0.500, 0.000, 0.250], [0.500, 0.000, 0.750]]
}

[2]
{
  "formula": "BaPaRuO6",
  "functional": "PBE-GGA",
  "state": "optimized geometry",
  "e_form_raw_mev_per_atom": -2364,
  "energy_ha_per_atom": -0.29285,
  "space_group": "Imma",
  "cell": [[-3.578, 3.735, 4.992], [3.578, -3.735, 4.992], [3.578, 3.735, -4.992]],
  "species": ["Ba", "Ba", "Pa", "Pa", "Ru", "Ru", "O", "O", "O", "O", "O", "O", "O", "O", "O", "O", "O", "O"],
  "fractional_positions": [[0.335, 0.085, 0.250], [0.665, 0.915, 0.750], [0.000, 0.500, 0.500], [0.500, 0.500, 0.000], [0.000, 0.000, 0.500], [0.000, 0.500, 0.000], [0.051, 0.338, 0.161], [0.051, 0.891, 0.714], [0.083, 0.333, 0.750], [0.323, 0.109, 0.661], [0.323, 0.662, 0.214], [0.361, 0.611, 0.750], [0.639, 0.389, 0.250], [0.677, 0.338, 0.786], [0.677, 0.891, 0.339], [0.917, 0.667, 0.250], [0.949, 0.109, 0.286], [0.949, 0.662, 0.839]]
}

[3]
{
  "formula": "NbSn2I",
  "functional": "PBE-GGA",
  "state": "optimized geometry",
  "polymorph_energy_mev_per_atom": 29,
  "e_form_raw_mev_per_atom": 791,
  "energy_ha_per_atom": -0.15125,
  "space_group": "Fm-3m",
  "cell": [[7.376, 0.000, 0.000], [0.000, 7.376, 0.000], [0.000, 0.000, 7.376]],
  "species": ["Nb", "Nb", "Nb", "Nb", "Sn", "Sn", "Sn", "Sn", "Sn", "Sn", "Sn", "Sn", "I", "I", "I", "I"],
  "fractional_positions": [[0.000, 0.000, 0.000], [0.000, 0.500, 0.500], [0.500, 0.000, 0.500], [0.500, 0.500, 0.000], [0.250, 0.250, 0.250], [0.250, 0.250, 0.750], [0.250, 0.750, 0.250], [0.250, 0.750, 0.750], [0.750, 0.250, 0.250], [0.750, 0.250, 0.750], [0.750, 0.750, 0.250], [0.750, 0.750, 0.750], [0.000, 0.000, 0.500], [0.000, 0.500, 0.000], [0.500, 0.000, 0.000], [0.500, 0.500, 0.500]]
}

[4]
{
  "formula": "NaPPd3",
  "functional": "PBE-GGA",
  "state": "optimized geometry",
  "polymorph_energy_mev_per_atom": 1568,
  "energy_ha_per_atom": -0.12030,
  "delta_e_f_kcal_per_mol_atoms": 27.39,
  "space_group": "Pm-3m",
  "cell": [[4.591, 0.000, 0.000], [0.000, 4.591, 0.000], [0.000, 0.000, 4.591]],
  "species": ["Na", "P", "Pd", "Pd", "Pd"],
  "fractional_positions": [[0.000, 0.000, 0.000], [0.500, 0.500, 0.500], [0.000, 0.000, 0.500], [0.000, 0.500, 0.000], [0.500, 0.000, 0.000]]
}

[5]
{
  "formula": "ScCoS2",
  "functional": "PBE-GGA",
  "state": "optimized geometry",
  "polymorph_energy_mev_per_atom": 280,
  "e_form_raw_mev_per_atom": -712,
  "energy_ha_per_atom": -0.22546,
  "space_group": "Fm-3m",
  "cell": [[6.230, 0.000, 0.000], [0.000, 6.230, 0.000], [0.000, 0.000, 6.230]],
  "species": ["Sc", "Sc", "Sc", "Sc", "Co", "Co", "Co", "Co", "S", "S", "S", "S", "S", "S", "S", "S"],
  "fractional_positions": [[0.000, 0.000, 0.000], [0.000, 0.500, 0.500], [0.500, 0.000, 0.500], [0.500, 0.500, 0.000], [0.000, 0.000, 0.500], [0.000, 0.500, 0.000], [0.500, 0.000, 0.000], [0.500, 0.500, 0.500], [0.250, 0.250, 0.250], [0.250, 0.250, 0.750], [0.250, 0.750, 0.250], [0.250, 0.750, 0.750], [0.750, 0.250, 0.250], [0.750, 0.250, 0.750], [0.750, 0.750, 0.250], [0.750, 0.750, 0.750]]
}

[6]
{
  "formula": "AcGdSnI",
  "functional": "PBE-GGA",
  "state": "optimized geometry",
  "e_form_raw_mev_per_atom": -751,
  "energy_ha_per_atom": -0.24572,
  "space_group": "F-43m",
  "cell": [[8.015, 0.000, 0.000], [0.000, 8.015, 0.000], [0.000, 0.000, 8.015]],
  "species": ["Ac", "Ac", "Ac", "Ac", "Gd", "Gd", "Gd", "Gd", "Sn", "Sn", "Sn", "Sn", "I", "I", "I", "I"],
  "fractional_positions": [[0.000, 0.000, 0.000], [0.000, 0.500, 0.500], [0.500, 0.000, 0.500], [0.500, 0.500, 0.000], [0.000, 0.000, 0.500], [0.000, 0.500, 0.000], [0.500, 0.000, 0.000], [0.500, 0.500, 0.500], [0.250, 0.250, 0.750], [0.250, 0.750, 0.250], [0.750, 0.250, 0.250], [0.750, 0.750, 0.750], [0.250, 0.250, 0.250], [0.250, 0.750, 0.750], [0.750, 0.250, 0.750], [0.750, 0.750, 0.250]]
}

[7]
{
  "formula": "RbIn6Ir",
  "functional": "PBE-GGA",
  "state": "optimized geometry",
  "energy_ha_per_atom": -0.12478,
  "delta_e_f_kcal_per_mol_atoms": -2.60,
  "space_group": "P4/mmm",
  "cell": [[4.745, 0.000, 0.000], [0.000, 4.745, 0.000], [0.000, 0.000, 9.767]],
  "species": ["Rb", "In", "In", "In", "In", "In", "In", "Ir"],
  "fractional_positions": [[0.000, 0.000, 0.000], [0.000, 0.500, 0.346], [0.000, 0.500, 0.654], [0.500, 0.000, 0.346], [0.500, 0.000, 0.654], [0.500, 0.500, 0.151], [0.500, 0.500, 0.849], [0.000, 0.000, 0.500]]
}

[8]
{
  "formula": "TiCuHg3",
  "functional": "PBE-GGA",
  "state": "optimized geometry",
  "polymorph_energy_mev_per_atom": 0,
  "energy_ha_per_atom": -0.07348,
  "delta_e_f_kcal_per_mol_atoms": 13.37,
  "space_group": "Pm-3m",
  "cell": [[4.924, 0.000, 0.000], [0.000, 4.924, 0.000], [0.000, 0.000, 4.924]],
  "species": ["Ti", "Cu", "Hg", "Hg", "Hg"],
  "fractional_positions": [[0.000, 0.000, 0.000], [0.500, 0.500, 0.500], [0.000, 0.500, 0.500], [0.500, 0.000, 0.500], [0.500, 0.500, 0.000]]
}

[9]
{
  "formula": "Cu2AsPt",
  "functional": "PBE-GGA",
  "state": "optimized geometry",
  "energy_ha_per_atom": -0.17532,
  "delta_e_f_kcal_per_mol_atoms": -1.15,
  "space_group": "Cm",
  "cell": [[8.732, 0.000, 0.000], [0.000, 2.942, 0.000], [-0.794, 0.000, 4.469]],
  "species": ["Cu", "Cu", "Cu", "Cu", "As", "As", "Pt", "Pt"],
  "fractional_positions": [[0.000, 0.000, 0.000], [0.246, 0.500, 0.210], [0.500, 0.500, 0.000], [0.746, 0.000, 0.210], [0.238, 0.000, 0.723], [0.738, 0.500, 0.723], [0.494, 0.000, 0.489], [0.994, 0.500, 0.489]]
}

[10]
{
  "formula": "FeCoGe2",
  "functional": "PBE-GGA",
  "state": "optimized geometry",
  "energy_ha_per_atom": -0.22602,
  "delta_e_f_kcal_per_mol_atoms": 1.16,
  "space_group": "R3m",
  "cell": [[3.683, 0.000, 0.000], [-1.841, 3.189, 0.000], [0.000, 0.000, 14.181]],
  "species": ["Fe", "Fe", "Fe", "Co", "Co", "Co", "Ge", "Ge", "Ge", "Ge", "Ge", "Ge"],
  "fractional_positions": [[0.000, 0.000, 0.000], [0.333, 0.667, 0.667], [0.667, 0.333, 0.333], [0.000, 0.000, 0.814], [0.333, 0.667, 0.481], [0.667, 0.333, 0.148], [0.000, 0.000, 0.233], [0.000, 0.000, 0.415], [0.333, 0.667, 0.081], [0.333, 0.667, 0.900], [0.667, 0.333, 0.566], [0.667, 0.333, 0.748]]
}

[11]
{
  "formula": "Cs4Y3ThSe8",
  "functional": "PBE-GGA",
  "state": "optimized geometry",
  "e_form_raw_mev_per_atom": -1683,
  "energy_ha_per_atom": -0.19530,
  "space_group": "R-3m",
  "cell": [[4.280, 2.471, 8.410], [-4.280, 2.471, 8.410], [0.000, -4.942, 8.410]],
  "species": ["Cs", "Cs", "Cs", "Cs", "Y", "Y", "Y", "Th", "Se", "Se", "Se", "Se", "Se", "Se", "Se", "Se"],
  "fractional_positions": [[0.000, 0.000, 0.000], [0.000, 0.500, 0.500], [0.500, 0.000, 0.500], [0.500, 0.500, 0.000], [0.000, 0.000, 0.500], [0.000, 0.500, 0.000], [0.500, 0.000, 0.000], [0.500, 0.500, 0.500], [0.227, 0.731, 0.731], [0.228, 0.228, 0.228], [0.269, 0.269, 0.773], [0.269, 0.773, 0.269], [0.731, 0.227, 0.731], [0.731, 0.731, 0.227], [0.772, 0.772, 0.772], [0.773, 0.269, 0.269]]
}

[12]
{
  "formula": "Y2BeNi",
  "functional": "PBE-GGA",
  "state": "optimized geometry",
  "energy_ha_per_atom": -0.20014,
  "delta_e_f_kcal_per_mol_atoms": 3.75,
  "space_group": "F-43m",
  "cell": [[6.622, 0.000, 0.000], [0.000, 6.622, 0.000], [0.000, 0.000, 6.622]],
  "species": ["Y", "Y", "Y", "Y", "Y", "Y", "Y", "Y", "Be", "Be", "Be", "Be", "Ni", "Ni", "Ni", "Ni"],
  "fractional_positions": [[0.000, 0.000, 0.000], [0.000, 0.500, 0.500], [0.250, 0.250, 0.250], [0.250, 0.750, 0.750], [0.500, 0.000, 0.500], [0.500, 0.500, 0.000], [0.750, 0.250, 0.750], [0.750, 0.750, 0.250], [0.250, 0.250, 0.750], [0.250, 0.750, 0.250], [0.750, 0.250, 0.250], [0.750, 0.750, 0.750], [0.000, 0.000, 0.500], [0.000, 0.500, 0.000], [0.500, 0.000, 0.000], [0.500, 0.500, 0.500]]
}